Record 1
Below is BaNd5Te8 after structural relaxation, with properties calculated at the PBE-GGA level.

ΔE_f (raw)	-18.965	eV/f.u.
SG	F-43m, No. 216
volume	602.7	Å³/f.u.
N(E_F)	5.17	states/eV per cell
energy	-4.99	eV/atom
total magnetic moment	0.00	μB per formula unit
density	5.2	g/cm³

```
BaNd5Te8
1.0
0.000 6.704 6.704
6.704 0.000 6.704
6.704 6.704 0.000
Ba Nd Te
1 5 8
Cartesian
0.000 0.000 0.000
5.014 5.014 5.014
8.394 8.394 5.014
8.394 5.014 8.394
10.056 10.056 10.056
5.014 8.394 8.394
1.880 1.880 1.880
4.824 4.824 1.880
4.824 1.880 4.824
8.280 5.128 5.128
1.880 4.824 4.824
5.128 8.280 5.128
5.128 5.128 8.280
8.280 8.280 8.280
```

Record 2
Below is BaNd3Te4 after structural relaxation, with properties calculated at the PBE-GGA level.

ΔE_f (raw)	-11.793	eV/f.u.
SG	Cmmm, No. 65
volume	276.5	Å³/f.u.
N(E_F)	3.91	states/eV per cell
energy	-5.07	eV/atom
total magnetic moment	0.00	μB per formula unit
density	6.5	g/cm³

```
BaNd3Te4
1.0
4.660 -6.509 0.000
4.660 6.509 0.000
0.000 0.000 4.558
Ba Nd Te
1 3 4
Cartesian
0.000 0.000 0.000
2.330 3.254 2.279
2.330 -3.254 2.279
4.660 0.000 0.000
4.660 3.161 0.000
2.471 0.000 2.279
6.850 0.000 2.279
4.660 -3.161 0.000
```

Record 3
Below is Ba4NdTe5 after structural relaxation, with properties calculated at the PBE-GGA level.

ΔE_f (raw)	-16.647	eV/f.u.
SG	I4/mmm, No. 139
volume	414.8	Å³/f.u.
N(E_F)	2.59	states/eV per cell
energy	-4.48	eV/atom
total magnetic moment	0.00	μB per formula unit
density	5.3	g/cm³

```
Ba4NdTe5
1.0
-2.448 2.448 17.309
2.448 -2.448 17.309
2.448 2.448 -17.309
Ba Nd Te
4 1 5
Cartesian
0.000 0.000 3.389
0.000 0.000 10.443
0.000 0.000 24.175
0.000 0.000 31.229
0.000 0.000 17.309
0.000 0.000 0.000
0.000 0.000 6.905
0.000 0.000 14.079
0.000 0.000 20.539
0.000 0.000 27.713
```

Record 4
Below is BaNdTe2 after structural relaxation, with properties calculated at the PBE-GGA level.

ΔE_f (raw)	-5.667	eV/f.u.
SG	P4/mmm, No. 123
volume	133.2	Å³/f.u.
N(E_F)	2.42	states/eV per cell
relative energy among the computed polymorphs	15.8	kJ per mole of atoms
energy	-4.66	eV/atom
total magnetic moment	0.32	μB per formula unit
density	6.7	g/cm³

```
BaNdTe2
1.0
4.025 0.000 0.000
0.000 4.025 0.000
0.000 0.000 8.221
Ba Nd Te
1 1 2
Cartesian
0.000 0.000 0.000
0.000 0.000 4.110
2.012 2.012 2.251
2.012 2.012 5.970
```

Record 5
Below is BaNdTe4 after structural relaxation, with properties calculated at the PBE-GGA level.

ΔE_f (raw)	-6.829	eV/f.u.
SG	P4/nbm, No. 125
volume	213.8	Å³/f.u.
N(E_F)	8.55	states/eV per cell
energy	-4.35	eV/atom
total magnetic moment	0.00	μB per formula unit
density	6.2	g/cm³

```
BaNdTe4
1.0
7.079 0.000 0.000
0.000 7.079 0.000
0.000 0.000 8.533
Ba Nd Te
2 2 8
Cartesian
1.770 1.770 0.000
5.309 5.309 0.000
1.770 1.770 4.266
5.309 5.309 4.266
0.711 4.251 2.383
0.711 6.368 6.150
2.828 4.251 6.150
2.828 6.368 2.383
4.251 0.711 6.150
4.251 2.828 2.383
6.368 0.711 2.383
6.368 2.828 6.150
```

Record 6
Below is Ba2Nd3Te6 after structural relaxation, with properties calculated at the PBE-GGA level.

ΔE_f (raw)	-17.269	eV/f.u.
SG	C2/m, No. 12
volume	441.2	Å³/f.u.
N(E_F)	3.89	states/eV per cell
energy	-4.93	eV/atom
total magnetic moment	0.00	μB per formula unit
density	5.5	g/cm³

```
Ba2Nd3Te6
1.0
3.972 -6.878 0.000
3.972 6.878 0.000
-2.648 0.000 8.074
Ba Nd Te
2 3 6
Cartesian
3.972 4.586 0.000
3.972 -4.586 0.000
-1.324 0.000 4.037
2.648 2.297 4.037
2.648 -2.297 4.037
0.011 2.273 5.848
1.347 0.000 2.226
0.011 -2.273 5.848
5.285 2.273 2.226
3.950 0.000 5.848
5.285 -2.273 2.226
```

Record 7
Below is Ba3Nd2TlTe6 after structural relaxation, with properties calculated at the PBE-GGA level.

ΔE_f (raw)	-17.418	eV/f.u.
SG	C2/m, No. 12
volume	469.4	Å³/f.u.
N(E_F)	3.61	states/eV per cell
energy	-4.49	eV/atom
total magnetic moment	0.00	μB per formula unit
density	5.9	g/cm³

```
Ba3Nd2TlTe6
1.0
10.394 -2.382 0.000
10.394 2.382 0.000
-2.010 0.000 9.481
Ba Nd Tl Te
3 2 1 6
Cartesian
0.000 0.000 0.000
5.755 0.000 6.252
13.023 0.000 3.229
6.587 0.000 1.538
12.192 0.000 7.943
-1.005 0.000 4.741
2.309 0.000 5.808
3.436 0.000 0.703
9.628 0.000 2.326
9.151 0.000 7.156
15.342 0.000 8.778
16.469 0.000 3.673
```

Record 8
Below is BaNdTh after structural relaxation, with properties calculated at the PBE-GGA level.

SG	Amm2, No. 38
volume	117.4	Å³/f.u.
N(E_F)	9.07	states/eV per cell
relative energy among the computed polymorphs	6.2	kJ per mole of atoms
energy	-4.44	eV/atom
total magnetic moment	0.00	μB per formula unit
formation energy	266	meV/atom
density	7.3	g/cm³

```
BaNdTh
1.0
19.236 0.000 0.000
0.000 1.880 3.247
0.000 -1.880 3.247
Ba Nd Th
2 2 2
Cartesian
3.380 0.000 0.000
15.856 0.000 0.000
0.000 0.000 4.322
9.618 0.000 0.001
6.722 0.000 4.339
12.514 0.000 4.339
```

Record 9
Below is BaNd2Th after structural relaxation, with properties calculated at the PBE-GGA level.

SG	R-3m, No. 166
volume	153.8	Å³/f.u.
N(E_F)	4.20	states/eV per cell
relative energy among the computed polymorphs	7.0	kJ per mole of atoms
energy	-4.55	eV/atom
total magnetic moment	0.00	μB per formula unit
formation energy	168	meV/atom
density	7.1	g/cm³

```
BaNd2Th
1.0
1.847 1.066 13.017
-1.847 1.066 13.017
0.000 -2.133 13.017
Ba Nd Th
1 2 1
Cartesian
0.000 0.000 0.000
0.000 0.000 3.687
0.000 0.000 35.365
0.000 0.000 19.526
```

Record 10
Below is BaNd2Th after structural relaxation, with properties calculated at the PBE-GGA level.

SG	P4/mmm, No. 123
volume	155.7	Å³/f.u.
N(E_F)	5.82	states/eV per cell
relative energy among the computed polymorphs	0.0	kJ per mole of atoms
energy	-4.62	eV/atom
total magnetic moment	0.00	μB per formula unit
formation energy	96	meV/atom
density	7.0	g/cm³

```
BaNd2Th
1.0
3.725 0.000 0.000
0.000 3.725 0.000
0.000 0.000 11.219
Ba Nd Th
1 2 1
Cartesian
0.000 0.000 0.000
1.863 1.863 3.232
1.863 1.863 7.987
0.000 0.000 5.610
```

Record 11
Below is BaNdTh after structural relaxation, with properties calculated at the PBE-GGA level.

SG	I4mm, No. 107
volume	119.5	Å³/f.u.
N(E_F)	4.30	states/eV per cell
relative energy among the computed polymorphs	0.0	kJ per mole of atoms
energy	-4.50	eV/atom
total magnetic moment	0.00	μB per formula unit
formation energy	202	meV/atom
density	7.1	g/cm³

```
BaNdTh
1.0
-1.847 1.847 8.759
1.847 -1.847 8.759
1.847 1.847 -8.759
Ba Nd Th
1 1 1
Cartesian
0.000 0.000 0.000
0.000 0.000 5.451
0.000 0.000 11.829
```

Record 12
Below is BaNdTl after structural relaxation, with properties calculated at the PBE-GGA level.

SG	P4/nmm, No. 129
volume	120.0	Å³/f.u.
N(E_F)	4.03	states/eV per cell
relative energy among the computed polymorphs	0.0	kJ per mole of atoms
energy	-3.30	eV/atom
total magnetic moment	0.00	μB per formula unit
formation energy	-285	meV/atom
density	6.7	g/cm³

```
BaNdTl
1.0
5.329 0.000 0.000
0.000 5.329 0.000
0.000 0.000 8.451
Ba Nd Tl
2 2 2
Cartesian
1.332 1.332 1.162
3.997 3.997 7.289
1.332 3.997 4.225
3.997 1.332 4.225
1.332 1.332 6.125
3.997 3.997 2.326
```

Record 13
Below is BaNd2Tl after structural relaxation, with properties calculated at the PBE-GGA level.

SG	P4/mmm, No. 123
volume	138.8	Å³/f.u.
N(E_F)	4.07	states/eV per cell
relative energy among the computed polymorphs	1.8	kJ per mole of atoms
energy	-3.50	eV/atom
total magnetic moment	0.00	μB per formula unit
formation energy	-47	meV/atom
density	7.5	g/cm³

```
BaNd2Tl
1.0
5.204 0.000 0.000
0.000 5.204 0.000
0.000 0.000 5.126
Ba Nd Tl
1 2 1
Cartesian
0.000 0.000 0.000
0.000 2.602 2.563
2.602 0.000 2.563
2.602 2.602 0.000
```

Record 14
Below is BaNdTl2 after structural relaxation, with properties calculated at the PBE-GGA level.

SG	P4/mmm, No. 123
volume	137.3	Å³/f.u.
N(E_F)	2.33	states/eV per cell
energy	-3.24	eV/atom
total magnetic moment	0.00	μB per formula unit
formation energy	-388	meV/atom
density	8.3	g/cm³

```
BaNdTl2
1.0
4.068 0.000 0.000
0.000 4.068 0.000
0.000 0.000 8.300
Ba Nd Tl
1 1 2
Cartesian
0.000 0.000 0.000
0.000 0.000 4.150
2.034 2.034 2.369
2.034 2.034 5.932
```

Record 15
Below is BaNdTl after structural relaxation, with properties calculated at the PBE-GGA level.

SG	I4mm, No. 107
volume	119.1	Å³/f.u.
N(E_F)	3.34	states/eV per cell
relative energy among the computed polymorphs	10.5	kJ per mole of atoms
energy	-3.20	eV/atom
total magnetic moment	0.00	μB per formula unit
formation energy	-176	meV/atom
density	6.8	g/cm³

```
BaNdTl
1.0
-2.060 2.060 7.022
2.060 -2.060 7.022
2.060 2.060 -7.022
Ba Nd Tl
1 1 1
Cartesian
0.000 0.000 0.000
0.000 0.000 3.879
0.000 0.000 9.418
```

Record 16
Below is BaNdTl after structural relaxation, with properties calculated at the PBE-GGA level.

SG	P3m1, No. 156
volume	113.0	Å³/f.u.
N(E_F)	3.30	states/eV per cell
relative energy among the computed polymorphs	15.9	kJ per mole of atoms
energy	-3.14	eV/atom
total magnetic moment	0.00	μB per formula unit
formation energy	-120	meV/atom
density	7.1	g/cm³

```
BaNdTl
1.0
5.624 0.000 0.000
-2.812 4.870 0.000
0.000 0.000 4.125
Ba Nd Tl
1 1 1
Cartesian
0.000 0.000 0.000
0.000 3.247 2.316
2.812 1.623 1.802
```

Record 17
Below is BaNd2Tl3 after structural relaxation, with properties calculated at the PBE-GGA level.

SG	P4/mmm, No. 123
volume	196.7	Å³/f.u.
N(E_F)	4.32	states/eV per cell
energy	-3.47	eV/atom
total magnetic moment	0.00	μB per formula unit
formation energy	-382	meV/atom
density	8.8	g/cm³

```
BaNd2Tl3
1.0
3.994 0.000 0.000
0.000 3.994 0.000
0.000 0.000 12.330
Ba Nd Tl
1 2 3
Cartesian
0.000 0.000 0.000
0.000 0.000 4.231
0.000 0.000 8.100
1.997 1.997 2.412
1.997 1.997 6.165
1.997 1.997 9.918
```

Record 18
Below is BaNdTl4 after structural relaxation, with properties calculated at the PBE-GGA level.

SG	F-43m, No. 216
volume	190.0	Å³/f.u.
N(E_F)	5.15	states/eV per cell
energy	-2.89	eV/atom
total magnetic moment	0.00	μB per formula unit
formation energy	-196	meV/atom
density	9.6	g/cm³

```
BaNdTl4
1.0
0.000 4.563 4.563
4.563 0.000 4.563
4.563 4.563 0.000
Ba Nd Tl
1 1 4
Cartesian
0.000 0.000 0.000
6.844 6.844 6.844
3.426 3.426 3.426
5.699 5.699 3.426
5.699 3.426 5.699
3.426 5.699 5.699
```

Record 19
Below is BaNd3Tl2 after structural relaxation, with properties calculated at the PBE-GGA level.

SG	C2/m, No. 12
volume	225.7	Å³/f.u.
N(E_F)	13.08	states/eV per cell
energy	-3.66	eV/atom
total magnetic moment	0.00	μB per formula unit
formation energy	-171	meV/atom
density	7.2	g/cm³

```
BaNd3Tl2
1.0
9.458 -2.616 0.000
9.458 2.616 0.000
-4.553 0.000 9.124
Ba Nd Tl
2 6 4
Cartesian
2.514 0.000 0.573
11.849 0.000 8.551
-0.821 0.000 3.545
3.293 0.000 5.370
6.222 0.000 3.025
8.140 0.000 6.099
11.069 0.000 3.754
15.183 0.000 5.578
0.420 0.000 6.608
5.405 0.000 7.758
8.957 0.000 1.366
13.943 0.000 2.516
```

Record 20
Below is BaNd2Tl after structural relaxation, with properties calculated at the PBE-GGA level.

SG	P4/mmm, No. 123
volume	150.5	Å³/f.u.
N(E_F)	5.39	states/eV per cell
relative energy among the computed polymorphs	0.0	kJ per mole of atoms
energy	-3.52	eV/atom
total magnetic moment	0.00	μB per formula unit
formation energy	-65	meV/atom
density	7.0	g/cm³

```
BaNd2Tl
1.0
3.821 0.000 0.000
0.000 3.821 0.000
0.000 0.000 10.306
Ba Nd Tl
1 2 1
Cartesian
0.000 0.000 0.000
1.911 1.911 3.128
1.911 1.911 7.178
0.000 0.000 5.153
```

Record 21
Below is BaNd2Tl after structural relaxation, with properties calculated at the PBE-GGA level.

SG	R3m, No. 160
volume	162.2	Å³/f.u.
N(E_F)	6.29	states/eV per cell
relative energy among the computed polymorphs	9.2	kJ per mole of atoms
energy	-3.43	eV/atom
total magnetic moment	0.00	μB per formula unit
formation energy	30	meV/atom
density	6.5	g/cm³

```
BaNd2Tl
1.0
2.694 1.555 6.451
-2.694 1.555 6.451
0.000 -3.111 6.451
Ba Nd Tl
1 2 1
Cartesian
0.000 0.000 0.000
0.000 0.000 10.702
0.000 0.000 15.230
0.000 0.000 3.736
```

Record 22
Below is BaNd2Tl after structural relaxation, with properties calculated at the PBE-GGA level.

SG	R-3m, No. 166
volume	155.6	Å³/f.u.
N(E_F)	5.20	states/eV per cell
relative energy among the computed polymorphs	14.3	kJ per mole of atoms
energy	-3.37	eV/atom
total magnetic moment	0.00	μB per formula unit
formation energy	83	meV/atom
density	6.7	g/cm³

```
BaNd2Tl
1.0
1.908 1.101 12.341
-1.908 1.101 12.341
0.000 -2.203 12.341
Ba Nd Tl
1 2 1
Cartesian
0.000 0.000 0.000
0.000 0.000 3.723
0.000 0.000 33.300
0.000 0.000 18.511
```

Record 23
Below is Ba3NdTl4 after structural relaxation, with properties calculated at the PBE-GGA level.

SG	P4/mmm, No. 123
volume	295.3	Å³/f.u.
N(E_F)	6.29	states/eV per cell
energy	-2.89	eV/atom
total magnetic moment	0.00	μB per formula unit
formation energy	-385	meV/atom
density	7.7	g/cm³

```
Ba3NdTl4
1.0
4.158 0.000 0.000
0.000 4.158 0.000
0.000 0.000 17.076
Ba Nd Tl
3 1 4
Cartesian
0.000 0.000 0.000
0.000 0.000 4.443
0.000 0.000 12.633
0.000 0.000 8.538
2.079 2.079 2.170
2.079 2.079 6.793
2.079 2.079 10.283
2.079 2.079 14.906
```

Record 24
Below is Ba5NdTl6 after structural relaxation, with properties calculated at the PBE-GGA level.

SG	C2/m, No. 12
volume	452.2	Å³/f.u.
N(E_F)	8.83	states/eV per cell
energy	-2.77	eV/atom
total magnetic moment	0.00	μB per formula unit
formation energy	-391	meV/atom
density	7.6	g/cm³

```
Ba5NdTl6
1.0
9.523 -4.168 0.000
9.523 4.168 0.000
-1.867 0.000 5.696
Ba Nd Tl
5 1 6
Cartesian
0.000 0.000 0.000
1.812 0.000 3.757
5.417 0.000 1.799
11.763 0.000 3.897
15.368 0.000 1.939
9.523 0.000 0.000
5.009 1.835 4.824
8.590 1.739 2.848
12.171 1.835 0.872
5.009 -1.835 4.824
8.590 -1.739 2.848
12.171 -1.835 0.872
```

Record 25
Below is Ba2NdTl3 after structural relaxation, with properties calculated at the PBE-GGA level.

SG	P4/mmm, No. 123
volume	216.2	Å³/f.u.
N(E_F)	5.79	states/eV per cell
energy	-3.00	eV/atom
total magnetic moment	0.00	μB per formula unit
formation energy	-383	meV/atom
density	7.9	g/cm³

```
Ba2NdTl3
1.0
4.091 0.000 0.000
0.000 4.091 0.000
0.000 0.000 12.917
Ba Nd Tl
2 1 3
Cartesian
0.000 0.000 2.315
0.000 0.000 10.603
0.000 0.000 6.459
2.045 2.045 0.000
2.045 2.045 4.679
2.045 2.045 8.239
```

Record 26
Below is Ba2Nd3Tl4 after structural relaxation, with properties calculated at the PBE-GGA level.

SG	Cmce, No. 64
volume	326.2	Å³/f.u.
N(E_F)	20.72	states/eV per cell
energy	-3.33	eV/atom
total magnetic moment	0.00	μB per formula unit
formation energy	-264	meV/atom
density	7.8	g/cm³

```
Ba2Nd3Tl4
1.0
3.813 -9.083 0.000
3.813 9.083 0.000
0.000 0.000 9.420
Ba Nd Tl
4 6 8
Cartesian
3.813 7.127 8.669
3.813 1.956 3.959
3.813 -1.956 5.461
3.813 -7.127 0.751
0.000 0.000 4.710
1.906 4.047 7.065
1.906 -4.047 2.355
3.813 0.000 0.000
5.719 4.047 7.065
5.719 -4.047 2.355
3.813 5.772 5.010
1.906 0.880 7.065
1.906 -0.880 2.355
3.813 3.311 0.300
3.813 -3.311 9.120
5.719 0.880 7.065
5.719 -0.880 2.355
3.813 -5.772 4.410
```